# 1
Density functional theory data (PBE) for a relaxed K3Ce3DySe8 crystal.

Output
Its symmetry is R-3m. For the formation energy without anion corrections, the calculation gives -1.72 eV per atom.

abc: 9.2075 9.2075 9.2075
angles: 55.55 55.55 55.55
Closest atoms and distances in Å follow each position.
Fractional coordinates of all 15 atoms:
K  0.0000  0.5000  0.5000  6 Se 3.36-3.38
K  0.5000  0.0000  0.5000  6 Se 3.36-3.38
K  0.5000  0.5000  0.0000  6 Se 3.36-3.38
Ce  0.0000  0.0000  0.5000  6 Se 2.94-2.96
Ce  0.0000  0.5000  0.0000  6 Se 2.94-2.96
Ce  0.5000  0.0000  0.0000  6 Se 2.94-2.96
Dy  0.5000  0.5000  0.5000  6 Se 2.90
Se  0.2361  0.2361  0.2361  3 Ce 2.96
Se  0.2378  0.7314  0.7314  1 Dy 2.90, 2 Ce 2.94
Se  0.2686  0.2686  0.7622  1 Dy 2.90, 2 Ce 2.94
Se  0.2686  0.7622  0.2686  1 Dy 2.90, 2 Ce 2.94
Se  0.7314  0.2378  0.7314  1 Dy 2.90, 2 Ce 2.94
Se  0.7314  0.7314  0.2378  1 Dy 2.90, 2 Ce 2.94
Se  0.7622  0.2686  0.2686  1 Dy 2.90, 2 Ce 2.94
Se  0.7639  0.7639  0.7639  3 Ce 2.96


# 2
Density functional theory data (PBE) for a relaxed In2ReW crystal.

Output
Its symmetry is Amm2. The total energy is -7.4567 eV per atom.

abc: 3.0769 8.3887 8.3887
angles: 21.48 90.00 90.00
Closest atoms and distances in Å follow each position.
Fractional coordinates of all 4 atoms:
In  0.0000  0.0000  0.0000  4 Re 2.97, 6 In 3.08-3.16
In  0.5000  0.1674  0.1674  4 W 3.02, 6 In 3.08-3.16
Re  0.5000  0.3789  0.3789  4 W 2.61
W  0.0000  0.7931  0.7931  4 Re 2.61


# 3
Density functional theory data (PBE) for a relaxed Na2Ge4Pd3Au crystal.

Output
Its symmetry is P-4m2. The total energy is -4.3058 eV per atom.

abc: 4.3351 4.3351 10.4892
angles: 90.00 90.00 90.00
Closest atoms and distances in Å follow each position.
Fractional coordinates of all 10 atoms:
Na  0.0000  0.5000  0.2483  8 Ge 3.29-3.42, 6 Pd 3.32-3.39, 2 Au 3.39
Na  0.5000  0.0000  0.7517  8 Ge 3.29-3.42, 6 Pd 3.32-3.39, 2 Au 3.39
Ge  0.0000  0.0000  0.5000  4 Pd 2.57
Ge  0.0000  0.5000  0.8668  3 Pd 2.47-2.58, 2 Au 2.58
Ge  0.5000  0.0000  0.1332  3 Pd 2.47-2.58, 2 Au 2.58
Ge  0.5000  0.5000  0.5000  4 Pd 2.57
Pd  0.0000  0.0000  0.0000  4 Ge 2.58
Pd  0.0000  0.5000  0.6309  5 Ge 2.47-2.57
Pd  0.5000  0.0000  0.3691  5 Ge 2.47-2.57
Au  0.5000  0.5000  0.0000  4 Ge 2.58


# 4
Density functional theory data (PBE) for a relaxed Re2WCl crystal.

Output
Its symmetry is P4mm. For the formation energy without anion corrections, the calculation gives 0.53 eV per atom.

abc: 2.8280 2.8280 9.4267
angles: 90.00 90.00 90.00
Closest atoms and distances in Å follow each position.
Fractional coordinates of all 4 atoms:
Re  0.0000  0.0000  0.0000  8 Re 2.69-2.83
Re  0.5000  0.5000  0.1902  8 Re 2.69-2.83, 4 W 2.79
W  0.0000  0.0000  0.3966  4 Cl 2.63, 4 Re 2.79, 4 W 2.83
Cl  0.5000  0.5000  0.5779  4 W 2.63, 4 Cl 2.83


# 5
Density functional theory data (PBE) for a relaxed AlCrIn crystal.

Output
Its symmetry is I4mm. The total energy is -5.1390 eV per atom.

abc: 5.5238 5.5238 5.5238
angles: 146.65 146.65 47.88
Closest atoms and distances in Å follow each position.
Fractional coordinates of all 3 atoms:
Al  0.0000  0.0000  0.0000  4 Cr 2.57
Cr  0.3745  0.3745  0.0000  4 Al 2.57, 4 In 2.86
In  0.6990  0.6990  0.0000  4 Cr 2.86, 5 Al 3.01-3.04, 4 In 3.17


# 6
Density functional theory data (PBE) for a relaxed YIn crystal.

Output
Its symmetry is Pm-3m. The total energy is -5.1002 eV per atom.

abc: 3.7675 3.7675 3.7675
angles: 90.00 90.00 90.00
Closest atoms and distances in Å follow each position.
Fractional coordinates of all 2 atoms:
Y  0.0000  0.0000  0.0000  8 In 3.26
In  0.5000  0.5000  0.5000  8 Y 3.26


# 7
Density functional theory data (PBE) for a relaxed HfIn2Ga crystal.

Output
Its symmetry is I-42d. The total energy is -4.4753 eV per atom.

abc: 6.3042 6.3042 6.3042
angles: 102.18 102.18 125.32
Closest atoms and distances in Å follow each position.
Fractional coordinates of all 8 atoms:
Hf  0.0000  0.0000  0.0000  2 Ga 2.90, 4 In 3.05
Hf  0.7500  0.2500  0.5000  2 Ga 2.90, 4 In 3.05
In  0.1540  0.6250  0.0290  2 Ga 2.74, 2 In 2.93, 2 Hf 3.05
In  0.3750  0.4040  0.5290  2 Ga 2.74, 2 In 2.93, 2 Hf 3.05
In  0.5960  0.1250  0.9710  2 Ga 2.74, 2 In 2.93, 2 Hf 3.05
In  0.8750  0.8460  0.4710  2 Ga 2.74, 2 In 2.93, 2 Hf 3.05
Ga  0.2500  0.7500  0.5000  4 In 2.74, 2 Hf 2.90
Ga  0.5000  0.5000  0.0000  4 In 2.74, 2 Hf 2.90


# 8
Density functional theory data (PBE) for a relaxed MgPdPb crystal.

Output
Its symmetry is I4mm. The total energy is -3.8335 eV per atom.

abc: 6.0185 6.0185 6.0185
angles: 147.33 147.33 46.88
Closest atoms and distances in Å follow each position.
Fractional coordinates of all 3 atoms:
Mg  0.0000  0.0000  0.0000  4 Pd 2.76
Pd  0.3761  0.3761  0.0000  4 Mg 2.76, 4 Pb 3.02
Pb  0.7093  0.7093  0.0000  4 Pd 3.02, 5 Mg 3.21-3.33


# 9
Density functional theory data (PBE) for a relaxed PaNbV2 crystal.

Output
Its symmetry is R-3m. The total energy is -9.0404 eV per atom.

abc: 8.4468 8.4468 8.4468
angles: 21.58 21.58 21.58
Closest atoms and distances in Å follow each position.
Fractional coordinates of all 4 atoms:
Pa  0.0000  0.0000  0.0000  6 V 2.78
Nb  0.5000  0.5000  0.5000  6 V 2.73
V  0.2485  0.2485  0.2485  3 Nb 2.73, 3 Pa 2.78
V  0.7515  0.7515  0.7515  3 Nb 2.73, 3 Pa 2.78


# 10
Density functional theory data (PBE) for a relaxed Rb3Pm2NdTe6 crystal.

Output
Its symmetry is C2/m. For the formation energy without anion corrections, the calculation gives -1.41 eV per atom.

abc: 8.0223 8.0223 8.9788
angles: 98.56 98.56 120.00
Closest atoms and distances in Å follow each position.
Fractional coordinates of all 12 atoms:
Rb  0.0000  0.0000  0.0000  6 Te 3.68-3.69
Rb  0.3337  0.6663  0.0000  6 Te 3.68-3.69
Rb  0.6663  0.3337  0.0000  6 Te 3.68-3.69
Pm  0.1667  0.8333  0.5000  6 Te 3.19
Pm  0.8333  0.1667  0.5000  6 Te 3.19
Nd  0.5000  0.5000  0.5000  6 Te 3.21
Te  0.0970  0.4319  0.2957  2 Pm 3.19, 1 Nd 3.21
Te  0.2332  0.2332  0.7043  2 Pm 3.19, 1 Nd 3.21
Te  0.4319  0.0970  0.2957  2 Pm 3.19, 1 Nd 3.21
Te  0.5681  0.9030  0.7043  2 Pm 3.19, 1 Nd 3.21
Te  0.7668  0.7668  0.2957  2 Pm 3.19, 1 Nd 3.21
Te  0.9030  0.5681  0.7043  2 Pm 3.19, 1 Nd 3.21


# 11
Density functional theory data (PBE) for a relaxed MgAlGe2 crystal.

Output
Its symmetry is P4/mmm. The total energy is -3.5867 eV per atom.

abc: 3.3274 3.3274 6.7807
angles: 90.00 90.00 90.00
Closest atoms and distances in Å follow each position.
Fractional coordinates of all 4 atoms:
Mg  0.0000  0.0000  0.0000  8 Ge 2.99, 4 Mg 3.33
Al  0.0000  0.0000  0.5000  8 Ge 2.82
Ge  0.5000  0.5000  0.2715  4 Al 2.82, 4 Mg 2.99, 1 Ge 3.10
Ge  0.5000  0.5000  0.7285  4 Al 2.82, 4 Mg 2.99, 1 Ge 3.10